First-principles (PBEsol) data for an optimized crystal structure of LuSiRh, as listed in the Alexandria database.

Cell and atoms, written as extended XYZ:
```
12
Lattice="4.1415 0.0000 0.0000 0.0000 6.6648 0.0000 0.0000 0.0000 7.2557" Properties=species:S:1:pos:R:3 pbc="T T T"
Lu 3.1061 3.3192 5.0075
Lu 1.0354 3.3457 2.2482
Rh 3.1061 2.2964 0.4823
Si 1.0354 5.2785 4.4152
Rh 1.0354 1.0360 4.1102
Rh 1.0354 4.3684 6.7734
Lu 1.0354 0.0132 1.3796
Si 3.1061 4.7187 0.7873
Rh 3.1061 5.6288 3.1455
Lu 3.1061 6.6516 5.8761
Si 3.1061 1.3863 2.8405
Si 1.0354 1.9461 6.4684
```

Computed properties:
For the calculated total energy, the calculation gives -7.393 eV per atom. For the volume, the calculation gives 200.3 Å³ per cell. The symmetry is Pnma. For the raw formation energy, the calculation gives -1140 meV/atom.

---

First-principles (PBEsol) data for an optimized crystal structure of LuSnRh, as listed in the Alexandria database.

Cell and atoms, written as extended XYZ:
```
9
Lattice="3.6201 0.0000 0.0000 0.0000 7.4750 0.0000 0.0000 -3.7375 6.4735" Properties=species:S:1:pos:R:3 pbc="T T T"
Lu 0.0000 1.5005 2.5989
Lu 0.0000 -2.2370 3.8746
Sn 1.8100 2.7384 4.7430
Rh 1.8100 3.7375 2.1578
Sn 1.8100 -0.9991 1.7305
Rh 0.0000 0.0000 0.0000
Lu 0.0000 4.4740 0.0000
Rh 1.8100 0.0000 4.3157
Sn 1.8100 1.9982 0.0000
```

Computed properties:
As for the formation energy: -925 meV per atom. For the calculated total energy, the calculation gives -6.682 eV per atom. For the volume, the calculation gives 175.2 Å³ per cell. The symmetry is P-62m.

---

First-principles (PBEsol) data for an optimized crystal structure of TbLuRh2, as listed in the Alexandria database.

Cell and atoms, written as extended XYZ:
```
4
Lattice="-3.0933 0.8237 3.4763 -0.5358 -3.1501 3.4815 1.5472 1.0015 4.3514" Properties=species:S:1:pos:R:3 pbc="T T T"
Tb 0.0000 0.0000 0.0000
Rh -1.5614 -0.9937 8.4819
Lu -1.0410 -0.6625 5.6546
Rh -0.5205 -0.3312 2.8273
```

Computed properties:
As for the formation energy: -885 meV per atom. For the calculated total energy, the calculation gives -7.425 eV per atom. For the volume, the calculation gives 74.6 Å³ per cell. The symmetry is Fm-3m.

---

First-principles (PBEsol) data for an optimized crystal structure of TmLuRh2, as listed in the Alexandria database.

Cell and atoms, written as extended XYZ:
```
4
Lattice="-0.2309 4.4100 1.5544 1.2268 0.9960 4.4069 3.9340 2.3910 0.8513" Properties=species:S:1:pos:R:3 pbc="T T T"
Rh 1.2325 1.9492 1.7031
Rh 3.6974 5.8477 5.1094
Lu 2.4649 3.8985 3.4063
Tm 0.0000 0.0000 0.0000
```

Computed properties:
As for the formation energy: -962 meV per atom. For the calculated total energy, the calculation gives -7.474 eV per atom. For the volume, the calculation gives 72.6 Å³ per cell. The symmetry is Fm-3m.